Entry 1:
A relaxed structure of SrB2W, computed with GGA-PBE.

Cell lengths 6.4814, 6.4814, 5.9510 Å; angles 57.00, 57.00, 90.00 degrees
Last column: nearest neighbours and their distance in Å.
Atoms (fractional coordinates):
B  0.8750  0.9934  0.7500  2 W 2.06
Sr  0.5000  0.5000  0.0000  8 B 3.04-3.39
W  0.0000  0.0000  0.0000  4 B 2.06
B  0.3750  0.2566  0.7500  2 W 2.06
Sr  0.2500  0.7500  0.5000  8 B 3.04-3.39
B  0.0066  0.6250  0.2500  2 W 2.06
B  0.7434  0.1250  0.2500  2 W 2.06
W  0.7500  0.2500  0.5000  4 B 2.06

* E above lowest polymorph: 0.0 kJ/mol of formula units
* Fermi-level density of states: 3.45 states/eV per cell
* crystal system: tetragonal



Entry 2:
A relaxed structure of LaPrPtN2, computed with GGA-PBE.

Cell lengths 5.3068, 5.3984, 6.8242 Å; angles 90.23, 90.00, 90.00 degrees
Last column: nearest neighbours and their distance in Å.
Atoms (fractional coordinates):
Pt  0.0000  0.0000  0.5000  2 N 2.09
Pt  0.0000  0.0000  0.0000  2 N 2.09
N  0.2779  0.2738  0.0003  1 Pt 2.09
N  0.2779  0.7262  0.4997  1 Pt 2.09
Pr  0.4990  0.0000  0.2500  4 N 2.55
La  0.9970  0.5000  0.2500  4 N 2.56-2.57
N  0.7221  0.7262  0.9997  1 Pt 2.09
Pr  0.5010  0.0000  0.7500  4 N 2.55
La  0.0030  0.5000  0.7500  4 N 2.56-2.57
N  0.7221  0.2738  0.5003  1 Pt 2.09

* energy: -73.76 eV/cell
* Fermi-level density of states: 2.26 states/eV per cell
* crystal system: monoclinic



Entry 3:
A relaxed structure of GaTeS2, computed with GGA-PBE.

Cell lengths 4.8233, 4.8233, 4.8233 Å; angles 60.00, 60.00, 60.00 degrees
Last column: nearest neighbours and their distance in Å.
Atoms (fractional coordinates):
S  0.7500  0.7500  0.7500  4 Te 2.95, 4 Ga 2.95
Te  0.5000  0.5000  0.5000  8 S 2.95
Ga  0.0000  0.0000  0.0000  8 S 2.95
S  0.2500  0.2500  0.2500  4 Te 2.95, 4 Ga 2.95

* E above lowest polymorph: 212.8 kJ/mol of formula units
* Fermi-level density of states: 2.02 states/eV per cell
* crystal system: cubic